Record 1
Ni3Pd4Pt2: optimized geometry, PBE.

**Density of states at the Fermi level**: 18.9 states/eV/cell
**Energy of formation from the pure elements**: 0.06 eV per atom

Cell lengths 2.7331, 2.7331, 20.0541 Å; angles 90.00, 90.00, 120.00 degrees
Last column: nearest neighbours and their distance in Å.
Space group P3m1 (No. 156)
Asymmetric unit:
Ni (0.0000, 0.0000, 0.0000) x1  6 Pt 2.63-2.64, 6 Ni 2.73
Ni (0.0000, 0.0000, 0.3427) x1  6 Pd 2.61-2.63, 6 Ni 2.73
Ni (0.6667, 0.3333, 0.6701) x1  6 Pd 2.62, 6 Ni 2.73
Pd (0.0000, 0.0000, 0.5656) x1  3 Ni 2.62, 9 Pd 2.73-2.85
Pd (0.0000, 0.0000, 0.7745) x1  3 Ni 2.62, 6 Pd 2.73, 3 Pt 2.88
Pd (0.6667, 0.3333, 0.2388) x1  3 Ni 2.61, 1 Pt 2.69, 6 Pd 2.73
Pd (0.6667, 0.3333, 0.4474) x1  3 Ni 2.63, 9 Pd 2.73-2.85
Pt (0.6667, 0.3333, 0.1048) x1  3 Ni 2.63, 1 Pd 2.69, 6 Pt 2.73
Pt (0.6667, 0.3333, 0.8945) x1  3 Ni 2.64, 6 Pt 2.73, 3 Pd 2.88



Record 2
Tb2Ho2Pt15: optimized geometry, PBE.

**Density of states at the Fermi level**: 51.6 states/eV/cell
**Energy of formation from the pure elements**: -0.72 eV per atom

Cell lengths 9.3168, 9.3168, 13.8603 Å; angles 90.00, 90.00, 120.00 degrees
Last column: nearest neighbours and their distance in Å.
Space group R-3m (No. 166, hexagonal axes)
Asymmetric unit:
Tb (0.0000, 0.0000, 0.1377) x6  12 Pt 3.17-3.35, 1 Ho 3.54
Ho (0.0000, 0.0000, 0.3929) x6  6 Pt 2.81-2.91, 1 Ho 2.97
Pt (0.0000, 0.3141, 0.5000) x18  8 Pt 2.74-2.93
Pt (0.0000, 0.5000, 0.0000) x9  8 Pt 2.72-2.74, 2 Ho 2.81
Pt (0.0062, 0.5031, 0.6557) x18  8 Pt 2.66-2.87, 1 Ho 2.91



Record 3
TbCeY2Se6: optimized geometry, PBE.

**Density of states at the Fermi level**: 15.0 states/eV/cell
**Raw formation energy**: -18.29 eV per formula unit

Cell lengths 7.3032, 7.3032, 19.5591 Å; angles 90.00, 90.00, 120.00 degrees
Last column: nearest neighbours and their distance in Å.
Space group R3 (No. 146, hexagonal axes)
Asymmetric unit:
Tb (0.0000, 0.0000, 0.0000) x3  6 Se 2.87-2.92
Ce (0.0000, 0.0000, 0.4963) x3  6 Se 2.94-3.02
Y (0.0000, 0.0000, 0.1978) x3  6 Se 2.86-2.91
Y (0.0000, 0.0000, 0.6952) x3  6 Se 2.84-2.91
Se (0.0288, 0.3584, 0.2666) x9  2 Y 2.86-2.91, 1 Tb 2.87, 1 Ce 3.02
Se (0.0442, 0.6847, 0.7661) x9  2 Y 2.84-2.91, 1 Tb 2.92, 1 Ce 2.94



Record 4
Sr5Pt2Au2: optimized geometry, PBE.

**Density of states at the Fermi level**: 12.6 states/eV/cell
**Energy of formation from the pure elements**: -0.77 eV per atom

Cell lengths 16.0759, 8.2200, 8.2292 Å; angles 90.00, 90.00, 90.00 degrees
Last column: nearest neighbours and their distance in Å.
Space group Cmce (No. 64)
Asymmetric unit:
Sr (0.0000, 0.0000, 0.0000) x4  4 Pt 3.26, 2 Au 3.26
Sr (0.1315, 0.1699, 0.3337) x16  3 Pt 3.21-3.22, 3 Au 3.25-3.30
Pt (0.0000, 0.1227, 0.6231) x8  1 Pt 2.86
Au (0.2030, 0.0000, 0.0000) x8  7 Sr 3.25-3.30



Record 5
Ce4MgZn: optimized geometry, PBE.

**Density of states at the Fermi level**: 29.3 states/eV/cell
**Energy of formation from the pure elements**: -0.03 eV per atom

Cell lengths 5.3241, 5.8232, 8.9716 Å; angles 90.00, 90.00, 90.00 degrees
Last column: nearest neighbours and their distance in Å.
Space group Immm (No. 71)
Asymmetric unit:
Ce (0.0000, 0.2493, 0.1562) x8  3 Ce 2.80-2.92
Mg (0.0000, 0.5000, 0.5000) x2  2 Zn 2.91
Zn (0.0000, 0.0000, 0.5000) x2  2 Mg 2.91



Record 6
PaSe2Br8: optimized geometry, PBE.

**Density of states at the Fermi level**: 0.7 states/eV/cell
**Raw formation energy**: -8.73 eV per formula unit

Cell lengths 15.5595, 8.0686, 10.4231 Å; angles 90.00, 127.98, 90.00 degrees
Last column: nearest neighbours and their distance in Å.
Space group C2/m (No. 12)
Asymmetric unit:
Pa (0.0000, 0.0000, 0.0000) x2  6 Br 2.72-2.74
Se (0.0591, 0.0000, 0.4635) x4  1 Br 2.31, 1 Se 2.38
Br (0.0756, 0.2366, 0.9061) x8  1 Pa 2.72
Br (0.1929, 0.0000, 0.3089) x4  1 Pa 2.74
Br (0.2194, 0.0000, 0.7278) x4  1 Se 2.31



Record 7
Ac2Pm5: optimized geometry, PBE.

**Density of states at the Fermi level**: 23.8 states/eV/cell
**Energy of formation from the pure elements**: 0.04 eV per atom

Cell lengths 11.8314, 5.2842, 8.4329 Å; angles 90.00, 98.19, 90.00 degrees
Last column: nearest neighbours and their distance in Å.
Space group C2/m (No. 12)
Asymmetric unit:
Ac (0.0711, 0.0000, 0.2181) x4  11 Pm 3.72-3.78, 1 Ac 3.82
Pm (0.0000, 0.5000, 0.5000) x2  4 Ac 3.73, 8 Pm 3.74-3.78
Pm (0.1455, 0.5000, 0.9295) x4  7 Pm 3.70-3.80, 5 Ac 3.74-3.78
Pm (0.2137, 0.0000, 0.6429) x4  4 Ac 3.72-3.74, 8 Pm 3.74-3.76



Record 8
ZrMoC2: optimized geometry, PBE.

**Density of states at the Fermi level**: 3.2 states/eV/cell
**ΔE to the lowest computed polymorph**: 0.000 eV per atom
**Energy of formation from the pure elements**: -0.36 eV per atom

Cell lengths 3.2020, 3.2020, 15.7436 Å; angles 90.00, 90.00, 120.00 degrees
Last column: nearest neighbours and their distance in Å.
Space group R-3m (No. 166, hexagonal axes)
Asymmetric unit:
Zr (0.0000, 0.0000, 0.0000) x3  6 C 2.31
Mo (0.0000, 0.0000, 0.5000) x3  6 C 2.22
C (0.0000, 0.0000, 0.2448) x6  3 Mo 2.22, 3 Zr 2.31



Record 9
NbCu: optimized geometry, PBE.

**Density of states at the Fermi level**: 10.3 states/eV/cell
**Energy of formation from the pure elements**: 0.34 eV per atom

Cell lengths 7.5645, 2.7156, 9.3147 Å; angles 90.00, 90.00, 90.00 degrees
Last column: nearest neighbours and their distance in Å.
Space group Pmn2_1 (No. 31)
Asymmetric unit:
Nb (0.0000, 0.2089, 0.0000) x2  4 Nb 2.63-2.72, 4 Cu 2.80-2.88
Nb (0.1735, 0.1215, 0.5036) x4  4 Nb 2.63-2.72, 4 Cu 2.67-2.82
Cu (0.0000, 0.6812, 0.2681) x2  4 Cu 2.63-2.72, 4 Nb 2.81-2.88
Cu (0.1684, 0.6138, 0.7592) x4  4 Cu 2.55-2.72, 4 Nb 2.67-2.80



Record 10
LiHRhPb: optimized geometry, PBE.

**Density of states at the Fermi level**: 3.8 states/eV/cell

Cell lengths 3.8596, 3.8596, 7.6848 Å; angles 90.00, 90.00, 90.00 degrees
Last column: nearest neighbours and their distance in Å.
Space group P4/nmm (No. 129, origin choice 2)
Asymmetric unit:
Li (0.2500, 0.7500, 0.0000) x2  4 H 1.97
H (0.2500, 0.2500, 0.0504) x2  1 Rh 1.67
Rh (0.2500, 0.2500, 0.2675) x2  1 H 1.67
Pb (0.2500, 0.2500, 0.6488) x2  5 Rh 2.80-2.93, 1 H 3.09



Record 11
LaCe6: optimized geometry, PBE.

**Density of states at the Fermi level**: 53.8 states/eV/cell
**Energy of formation from the pure elements**: 0.58 eV per atom

Cell lengths 7.6565, 7.6565, 7.6565 Å; angles 90.00, 90.00, 90.00 degrees
Last column: nearest neighbours and their distance in Å.
Space group Im-3m (No. 229)
Asymmetric unit:
La (0.0000, 0.0000, 0.0000) x2  24 Ce 4.28
Ce (0.0000, 0.2500, 0.5000) x12  4 Ce 2.71



Record 12
Al3Ga2Ag: optimized geometry, PBE.

**Density of states at the Fermi level**: 5.2 states/eV/cell
**ΔE to the lowest computed polymorph**: 0.000 eV per atom
**Energy of formation from the pure elements**: 0.02 eV per atom

Cell lengths 5.4004, 9.3553, 8.4879 Å; angles 90.00, 102.60, 90.00 degrees
Last column: nearest neighbours and their distance in Å.
Space group C2/m (No. 12)
Asymmetric unit:
Al (0.2438, 0.0000, 0.2540) x4  4 Ga 2.70-2.80, 2 Ag 2.75
Al (0.2467, 0.1699, 0.7463) x8  4 Ga 2.71-2.78, 2 Ag 2.75-2.77
Ga (0.0000, 0.0000, 0.5000) x2  6 Al 2.70-2.73
Ga (0.0000, 0.3367, 0.5000) x4  6 Al 2.71-2.74
Ga (0.0000, 0.5000, 0.0000) x2  6 Al 2.78-2.80, 4 Ag 3.12
Ag (0.0000, 0.1662, 0.0000) x4  6 Al 2.75-2.77



Record 13
ScRuAu2: optimized geometry, PBE.

**Density of states at the Fermi level**: 10.1 states/eV/cell
**Energy of formation from the pure elements**: 0.14 eV per atom

Cell lengths 2.9615, 2.9615, 27.8698 Å; angles 90.00, 90.00, 120.00 degrees
Last column: nearest neighbours and their distance in Å.
Space group R-3m (No. 166, hexagonal axes)
Asymmetric unit:
Sc (0.0000, 0.0000, 0.0000) x3  6 Au 2.90, 6 Sc 2.96
Ru (0.0000, 0.0000, 0.5000) x3  6 Au 2.87, 6 Ru 2.96
Au (0.0000, 0.0000, 0.2494) x6  3 Ru 2.87, 3 Sc 2.90, 6 Au 2.96



Record 14
NbTlGa2: optimized geometry, PBE.

**Density of states at the Fermi level**: 1.2 states/eV/cell
**ΔE to the lowest computed polymorph**: 0.000 eV per atom
**Energy of formation from the pure elements**: 0.39 eV per atom

Cell lengths 7.5998, 7.5998, 5.8302 Å; angles 90.00, 90.00, 90.00 degrees
Last column: nearest neighbours and their distance in Å.
Space group I-42d (No. 122)
Asymmetric unit:
Nb (0.0000, 0.0000, 0.0000) x4  4 Ga 2.69, 2 Tl 2.92
Tl (0.0000, 0.0000, 0.5000) x4  4 Ga 2.88, 2 Nb 2.92
Ga (0.2312, 0.2500, 0.1250) x8  2 Nb 2.69, 2 Tl 2.88, 2 Ga 2.93



Record 15
Pu2ThSn: optimized geometry, PBE.

**Density of states at the Fermi level**: 10.1 states/eV/cell
**ΔE to the lowest computed polymorph**: 0.000 eV per atom
**Energy of formation from the pure elements**: -0.27 eV per atom

Cell lengths 4.6840, 4.6840, 4.9474 Å; angles 90.00, 90.00, 90.00 degrees
Last column: nearest neighbours and their distance in Å.
Space group P4/mmm (No. 123)
Asymmetric unit:
Pu (0.0000, 0.5000, 0.0000) x2  4 Pu 3.31, 4 Sn 3.41, 4 Th 3.41
Th (0.0000, 0.0000, 0.5000) x1  4 Sn 3.31, 8 Pu 3.41
Sn (0.5000, 0.5000, 0.5000) x1  4 Th 3.31, 8 Pu 3.41



Record 16
MgTaPdRu: optimized geometry, PBE.

**Density of states at the Fermi level**: 16.3 states/eV/cell
**Energy of formation from the pure elements**: -0.34 eV per atom

Cell lengths 6.3375, 6.3375, 6.3375 Å; angles 90.00, 90.00, 90.00 degrees
Last column: nearest neighbours and their distance in Å.
Space group F-43m (No. 216)
Asymmetric unit:
Mg (0.0000, 0.0000, 0.0000) x4  4 Ru 2.74, 4 Pd 2.74
Ta (0.0000, 0.0000, 0.5000) x4  4 Ru 2.74, 4 Pd 2.74
Pd (0.2500, 0.2500, 0.7500) x4  4 Ta 2.74, 4 Mg 2.74
Ru (0.2500, 0.2500, 0.2500) x4  4 Ta 2.74, 4 Mg 2.74



Record 17
BC2: optimized geometry, PBE.

**Density of states at the Fermi level**: 2.5 states/eV/cell
**ΔE to the lowest computed polymorph**: 0.126 eV per atom
**Energy of formation from the pure elements**: 0.37 eV per atom

Cell lengths 3.8021, 2.6040, 7.8744 Å; angles 90.00, 90.12, 90.00 degrees
Last column: nearest neighbours and their distance in Å.
Space group Pm (No. 6)
Asymmetric unit:
B (0.0000, 0.0000, 0.0000) x1  3 C 1.54-1.57
B (0.0466, 0.0000, 0.3733) x1  3 C 1.63, 1 B 1.70
B (0.3609, 0.0000, 0.2210) x1  2 C 1.55, 1 B 1.70
B (0.5678, 0.5000, 0.8580) x1  4 C 1.64-1.70
C (0.0545, 0.0000, 0.6904) x1  4 C 1.54-1.62
C (0.2809, 0.0000, 0.8535) x1  1 C 1.54, 3 B 1.57-1.70
C (0.3243, 0.0000, 0.5308) x1  3 C 1.58-1.62, 1 B 1.63
C (0.5604, 0.5000, 0.5337) x1  4 C 1.55-1.58
C (0.5781, 0.5000, 0.2005) x1  2 C 1.53, 2 B 1.55
C (0.7885, 0.5000, 0.3667) x1  2 C 1.53-1.58, 2 B 1.63
C (0.7980, 0.5000, 0.0388) x1  1 C 1.53, 3 B 1.54-1.67
C (0.8159, 0.5000, 0.6872) x1  3 C 1.55-1.59, 1 B 1.64



Record 18
Li2InOs: optimized geometry, PBE.

**Density of states at the Fermi level**: 2.9 states/eV/cell
**Energy of formation from the pure elements**: 0.27 eV per atom

Cell lengths 3.0603, 3.0603, 6.6550 Å; angles 90.00, 90.00, 90.00 degrees
Last column: nearest neighbours and their distance in Å.
Space group P4mm (No. 99)
Asymmetric unit:
Li (0.0000, 0.0000, 0.0000) x1  4 Li 2.62, 4 In 2.89, 1 Os 2.93
Li (0.5000, 0.5000, 0.2228) x1  4 Os 2.60, 4 Li 2.62
In (0.5000, 0.5000, 0.7126) x1  4 Os 2.82, 4 Li 2.89, 4 In 3.06
Os (0.0000, 0.0000, 0.4404) x1  4 Li 2.60, 4 In 2.82



Record 19
DyAlPt: optimized geometry, PBE.

**Density of states at the Fermi level**: 1.9 states/eV/cell
**Energy of formation from the pure elements**: -1.03 eV per atom

Cell lengths 4.3908, 4.3908, 3.7101 Å; angles 90.00, 90.00, 120.00 degrees
Last column: nearest neighbours and their distance in Å.
Space group P-6m2 (No. 187)
Asymmetric unit:
Dy (0.0000, 0.0000, 0.0000) x1  6 Pt 3.14, 6 Al 3.14
Al (0.6667, 0.3333, 0.5000) x1  3 Pt 2.53-2.54
Pt (0.3333, 0.6667, 0.5000) x1  3 Al 2.53-2.54



Record 20
La6TbNd2Er: optimized geometry, PBE.

**Density of states at the Fermi level**: 49.9 states/eV/cell
**Energy of formation from the pure elements**: 0.11 eV per atom

Cell lengths 9.8980, 15.3898, 9.2940 Å; angles 90.00, 90.29, 90.00 degrees
Last column: nearest neighbours and their distance in Å.
Space group C2/c (No. 15)
Asymmetric unit:
La (0.0737, 0.1474, 0.0934) x8  4 La 3.26-3.61, 1 Tb 3.49, 1 Nd 3.59
La (0.0745, 0.3533, 0.9074) x8  4 La 3.27-3.61, 1 Er 3.49, 1 Nd 3.58
La (0.2498, 0.2182, 0.6807) x8  3 La 3.42-3.50, 1 Tb 3.44, 1 Er 3.45, 2 Nd 3.50-3.81
Tb (0.0000, 0.0686, 0.7500) x4  6 La 3.44-3.70, 4 Nd 3.49-3.85
Nd (0.2493, 0.4553, 0.5628) x8  2 Er 3.48-3.82, 2 Tb 3.49-3.85, 6 La 3.50-3.81
Er (0.0000, 0.4325, 0.2500) x4  6 La 3.45-3.68, 4 Nd 3.48-3.82



no.,E_tot (Ry/atom),total magnetization (Bohr magnetons per cell)
1,-0.405,4.16
2,-0.475,0.00
3,-0.461,3.02
4,-0.277,0.00
5,-0.328,0.08
6,-0.258,2.09
7,-0.333,0.00
8,-0.722,0.00
9,-0.496,0.00
10,-0.318,0.00
11,-0.383,7.14
12,-0.245,0.00
13,-0.397,2.75
14,-0.311,0.00
15,-0.756,11.86
16,-0.538,0.00
17,-0.589,0.00
18,-0.307,0.00
19,-0.428,0.00
20,-0.347,0.00